Record 1
SrZnPd | GGA-PBE | relaxed

Cell lengths 11.1742, 4.3680, 7.4562 Å; angles 90.00, 128.43, 90.00 degrees
Positions (direct):
Sr  0.0605  0.0000  0.3054
Sr  0.4395  0.5000  0.6946
Sr  0.5605  0.5000  0.3054
Sr  0.9395  0.0000  0.6946
Zn  0.1960  0.5000  0.0956
Zn  0.3040  0.0000  0.9044
Zn  0.6960  0.0000  0.0956
Zn  0.8040  0.5000  0.9044
Pd  0.1541  0.5000  0.7030
Pd  0.3459  0.0000  0.2970
Pd  0.6541  0.0000  0.7030
Pd  0.8459  0.5000  0.2970

- symmetry = C2/m, No. 12
- total magnetic moment (Bohr magnetons per cell) = 0.00
- ΔH_f (0 K) (eV/atom) = -0.54

***

Record 2
Sr2Zn5Pd5 | GGA-PBE | relaxed

Cell lengths 4.2606, 5.4767, 9.6985 Å; angles 90.00, 90.00, 90.00 degrees
Positions (direct):
Sr  0.0000  0.0000  0.0000
Sr  0.0000  0.5000  0.5000
Zn  0.5000  0.0000  0.5000
Zn  0.5000  0.2507  0.2462
Zn  0.5000  0.2507  0.7538
Zn  0.5000  0.7493  0.2462
Zn  0.5000  0.7493  0.7538
Pd  0.0000  0.0000  0.3337
Pd  0.0000  0.0000  0.6663
Pd  0.0000  0.5000  0.1834
Pd  0.0000  0.5000  0.8166
Pd  0.5000  0.5000  0.0000

- symmetry = Pmmm, No. 47
- total magnetic moment (Bohr magnetons per cell) = 0.00
- ΔH_f (0 K) (eV/atom) = -0.57

***

Record 3
SrZn2Pd2 | GGA-PBE | relaxed

Cell lengths 4.4251, 4.4251, 10.2933 Å; angles 90.00, 90.00, 90.00 degrees
Positions (direct):
Sr  0.0000  0.0000  0.0000
Sr  0.5000  0.5000  0.5000
Zn  0.0000  0.0000  0.3750
Zn  0.0000  0.0000  0.6250
Zn  0.5000  0.5000  0.1250
Zn  0.5000  0.5000  0.8750
Pd  0.0000  0.5000  0.2500
Pd  0.0000  0.5000  0.7500
Pd  0.5000  0.0000  0.2500
Pd  0.5000  0.0000  0.7500

- symmetry = I4/mmm, No. 139
- total magnetic moment (Bohr magnetons per cell) = 0.00
- ΔE to the lowest computed polymorph (eV per atom) = 0.031
- ΔH_f (0 K) (eV/atom) = -0.53

***

Record 4
Sr2ZnPd | GGA-PBE | relaxed

Cell lengths 4.3330, 4.3330, 30.5170 Å; angles 90.00, 90.00, 120.00 degrees
Positions (direct):
Sr  0.0000  0.0000  0.1112
Sr  0.0000  0.0000  0.8888
Sr  0.3333  0.6667  0.5554
Sr  0.3333  0.6667  0.7779
Sr  0.6667  0.3333  0.2221
Sr  0.6667  0.3333  0.4446
Zn  0.0000  0.0000  0.0000
Zn  0.3333  0.6667  0.6667
Zn  0.6667  0.3333  0.3333
Pd  0.0000  0.0000  0.5000
Pd  0.3333  0.6667  0.1667
Pd  0.6667  0.3333  0.8333

- symmetry = R-3m, No. 166
- total magnetic moment (Bohr magnetons per cell) = 0.00
- ΔH_f (0 K) (eV/atom) = -0.05

***

Record 5
Sr8Zn2Pd | GGA-PBE | relaxed

Cell lengths 10.6238, 10.6238, 7.6155 Å; angles 104.19, 104.19, 31.03 degrees
Positions (direct):
Sr  0.0337  0.0337  0.2990
Sr  0.2127  0.2127  0.8217
Sr  0.3422  0.3422  0.5317
Sr  0.4106  0.4106  0.0775
Sr  0.5894  0.5894  0.9225
Sr  0.6578  0.6578  0.4683
Sr  0.7873  0.7873  0.1783
Sr  0.9663  0.9663  0.7010
Zn  0.1892  0.1892  0.2359
Zn  0.8108  0.8108  0.7641
Pd  0.5000  0.5000  0.5000

- symmetry = C2/m, No. 12
- total magnetic moment (Bohr magnetons per cell) = 0.00
- ΔE to the lowest computed polymorph (eV per atom) = 0.011
- ΔH_f (0 K) (eV/atom) = -0.13

***

Record 6
SrZn4Pd8 | GGA-PBE | relaxed

Cell lengths 6.8601, 6.8601, 6.8601 Å; angles 98.59, 98.59, 134.53 degrees
Positions (direct):
Sr  0.0000  0.0000  0.0000
Zn  0.0000  0.0000  0.5000
Zn  0.0000  0.5000  0.0000
Zn  0.5000  0.0000  0.0000
Zn  0.5000  0.5000  0.5000
Pd  0.0000  0.3462  0.3462
Pd  0.0000  0.6538  0.6538
Pd  0.2755  0.5000  0.7755
Pd  0.3462  0.0000  0.3462
Pd  0.5000  0.2755  0.7755
Pd  0.5000  0.7245  0.2245
Pd  0.6538  0.0000  0.6538
Pd  0.7245  0.5000  0.2245

- symmetry = I4/mmm, No. 139
- total magnetic moment (Bohr magnetons per cell) = 0.00
- ΔH_f (0 K) (eV/atom) = -0.48

***

Record 7
SrZnPd | GGA-PBE | relaxed

Cell lengths 4.4368, 4.4368, 4.3199 Å; angles 90.00, 90.00, 120.00 degrees
Positions (direct):
Sr  0.0000  0.0000  0.0000
Zn  0.3333  0.6667  0.5000
Pd  0.6667  0.3333  0.5000

- symmetry = P-6m2, No. 187
- total magnetic moment (Bohr magnetons per cell) = 0.00
- ΔH_f (0 K) (eV/atom) = -0.57

***

Record 8
SrZn5Pd2 | GGA-PBE | relaxed

Cell lengths 4.0899, 7.4164, 10.0504 Å; angles 90.00, 90.00, 90.00 degrees
Positions (direct):
Sr  0.0000  0.0000  0.0000
Sr  0.5000  0.5000  0.5000
Zn  0.0000  0.1832  0.3516
Zn  0.0000  0.1832  0.6484
Zn  0.0000  0.5000  0.0000
Zn  0.0000  0.8168  0.3516
Zn  0.0000  0.8168  0.6484
Zn  0.5000  0.0000  0.5000
Zn  0.5000  0.3168  0.1484
Zn  0.5000  0.3168  0.8516
Zn  0.5000  0.6832  0.1484
Zn  0.5000  0.6832  0.8516
Pd  0.0000  0.5000  0.2491
Pd  0.0000  0.5000  0.7509
Pd  0.5000  0.0000  0.2509
Pd  0.5000  0.0000  0.7491

- symmetry = Immm, No. 71
- total magnetic moment (Bohr magnetons per cell) = 0.00
- ΔH_f (0 K) (eV/atom) = -0.37

***

Theoretical density / g/cm³: 6.04, 7.59, 7.11, 3.48, 3.64, 9.39, 5.85, 6.84